[1]
PmScBi2O6 | PBE-GGA | optimized geometry

Properties
Crystal system: trigonal
Energy relative to the elements, uncorrected in kcal/mol of atoms: -53.1
Space-group type: No. 146
E_tot in hartree per atom: -0.263

Cell lengths 6.100, 6.100, 6.100 Å; angles 58.63, 58.63, 58.63 degrees
Sites, in units of the cell vectors:
Pm (0.000, 0.000, 0.000)
Sc (0.493, 0.493, 0.493)
Bi (0.281, 0.281, 0.281)
Bi (0.782, 0.782, 0.782)
O (0.135, 0.670, 0.366)
O (0.202, 0.626, 0.829)
O (0.366, 0.135, 0.670)
O (0.626, 0.829, 0.202)
O (0.670, 0.366, 0.135)
O (0.829, 0.202, 0.626)

---

[2]
PmBiSe2O | PBE-GGA | optimized geometry

Properties
Crystal system: tetragonal
Energy relative to the elements, uncorrected in kcal/mol of atoms: -38.7
Space-group type: No. 129
E_tot in hartree per atom: -0.213

Cell lengths 4.084, 4.084, 14.979 Å; angles 90.00, 90.00, 90.00 degrees
Sites, in units of the cell vectors:
Pm (0.250, 0.250, 0.077)
Pm (0.750, 0.750, 0.923)
Bi (0.250, 0.250, 0.639)
Bi (0.750, 0.750, 0.361)
Se (0.250, 0.250, 0.402)
Se (0.250, 0.250, 0.817)
Se (0.750, 0.750, 0.183)
Se (0.750, 0.750, 0.598)
O (0.250, 0.750, 0.000)
O (0.750, 0.250, 0.000)

---

[3]
PmSmBiO2 | PBE-GGA | optimized geometry

Properties
Crystal system: tetragonal
Energy relative to the elements, uncorrected in kcal/mol of atoms: -60.1
Space-group type: No. 107
E_tot in hartree per atom: -0.267

Cell lengths 7.509, 7.509, 7.509 Å; angles 149.20, 149.20, 44.11 degrees
Sites, in units of the cell vectors:
Pm (0.000, 0.000, 0.000)
Sm (0.667, 0.667, 0.000)
Bi (0.333, 0.333, 0.000)
O (0.084, 0.584, 0.500)
O (0.584, 0.084, 0.500)

---

[4]
PmSmBi2O8 | PBE-GGA | optimized geometry

Properties
Crystal system: tetragonal
Energy relative to the elements, uncorrected in kcal/mol of atoms: -45.0
Space-group type: No. 82
E_tot in hartree per atom: -0.246

Cell lengths 6.930, 6.930, 6.930 Å; angles 133.43, 133.43, 67.98 degrees
Sites, in units of the cell vectors:
Pm (0.000, 0.000, 0.000)
Sm (0.750, 0.250, 0.500)
Bi (0.250, 0.750, 0.500)
Bi (0.500, 0.500, 0.000)
O (0.093, 0.647, 0.049)
O (0.151, 0.207, 0.550)
O (0.353, 0.402, 0.446)
O (0.399, 0.849, 0.056)
O (0.598, 0.044, 0.951)
O (0.657, 0.601, 0.450)
O (0.793, 0.343, 0.944)
O (0.956, 0.907, 0.554)

---

[5]
PmSmBi2O6 | PBE-GGA | optimized geometry

Properties
Crystal system: trigonal
Energy relative to the elements, uncorrected in kcal/mol of atoms: -52.9
Space-group type: No. 146
E_tot in hartree per atom: -0.257

Cell lengths 6.244, 6.244, 6.244 Å; angles 58.94, 58.94, 58.94 degrees
Sites, in units of the cell vectors:
Pm (0.000, 0.000, 0.000)
Sm (0.499, 0.499, 0.499)
Bi (0.284, 0.284, 0.284)
Bi (0.784, 0.784, 0.784)
O (0.119, 0.670, 0.369)
O (0.172, 0.618, 0.866)
O (0.369, 0.119, 0.670)
O (0.618, 0.866, 0.172)
O (0.670, 0.369, 0.119)
O (0.866, 0.172, 0.618)

---

[6]
PmSnBiO6 | PBE-GGA | optimized geometry

Properties
Crystal system: tetragonal
Energy relative to the elements, uncorrected in kcal/mol of atoms: -40.9
Space-group type: No. 102
E_tot in hartree per atom: -0.238

Cell lengths 5.080, 5.080, 10.249 Å; angles 90.00, 90.00, 90.00 degrees
Sites, in units of the cell vectors:
Pm (0.000, 0.000, 0.000)
Pm (0.500, 0.500, 0.500)
Sn (0.000, 0.000, 0.332)
Sn (0.500, 0.500, 0.832)
Bi (0.000, 0.000, 0.667)
Bi (0.500, 0.500, 0.167)
O (0.179, 0.179, 0.496)
O (0.199, 0.199, 0.180)
O (0.206, 0.206, 0.821)
O (0.294, 0.706, 0.321)
O (0.301, 0.699, 0.680)
O (0.321, 0.679, 0.996)
O (0.679, 0.321, 0.996)
O (0.699, 0.301, 0.680)
O (0.706, 0.294, 0.321)
O (0.794, 0.794, 0.821)
O (0.801, 0.801, 0.180)
O (0.821, 0.821, 0.496)

---

[7]
Pm2SnBiO6 | PBE-GGA | optimized geometry

Properties
Crystal system: tetragonal
Energy relative to the elements, uncorrected in kcal/mol of atoms: -47.9
Space-group type: No. 99
E_tot in hartree per atom: -0.250

Cell lengths 5.424, 5.424, 5.663 Å; angles 90.00, 90.00, 90.00 degrees
Sites, in units of the cell vectors:
Pm (0.000, 0.500, 0.000)
Pm (0.500, 0.000, 0.000)
Sn (0.000, 0.000, 0.584)
Bi (0.500, 0.500, 0.543)
O (0.000, 0.000, 0.222)
O (0.241, 0.241, 0.760)
O (0.241, 0.759, 0.760)
O (0.500, 0.500, 0.135)
O (0.759, 0.241, 0.760)
O (0.759, 0.759, 0.760)

---

[8]
SrPmBi2O8 | PBE-GGA | optimized geometry

Properties
Crystal system: tetragonal
Energy relative to the elements, uncorrected in kcal/mol of atoms: -37.3
Space-group type: No. 82
E_tot in hartree per atom: -0.224

Cell lengths 6.980, 6.980, 6.980 Å; angles 132.65, 132.65, 69.21 degrees
Sites, in units of the cell vectors:
Sr (0.000, 0.000, 0.000)
Pm (0.250, 0.750, 0.500)
Bi (0.500, 0.500, 0.000)
Bi (0.750, 0.250, 0.500)
O (0.051, 0.104, 0.470)
O (0.214, 0.648, 0.060)
O (0.352, 0.412, 0.566)
O (0.419, 0.949, 0.054)
O (0.588, 0.154, 0.940)
O (0.635, 0.581, 0.530)
O (0.846, 0.786, 0.434)
O (0.896, 0.365, 0.946)

---

[9]
Sr2PmBiO6 | PBE-GGA | optimized geometry

Properties
Crystal system: monoclinic
Energy relative to the elements, uncorrected in kcal/mol of atoms: -55.0
Space-group type: No. 14
E_tot in hartree per atom: -0.241

Cell lengths 6.004, 6.173, 10.460 Å; angles 90.00, 124.80, 90.00 degrees
Sites, in units of the cell vectors:
Sr (0.237, 0.047, 0.251)
Sr (0.237, 0.453, 0.751)
Sr (0.763, 0.547, 0.249)
Sr (0.763, 0.953, 0.749)
Pm (0.500, 0.000, 0.000)
Pm (0.500, 0.500, 0.500)
Bi (0.000, 0.000, 0.500)
Bi (0.000, 0.500, 0.000)
O (0.133, 0.215, 0.942)
O (0.133, 0.285, 0.442)
O (0.235, 0.695, 0.948)
O (0.235, 0.805, 0.448)
O (0.341, 0.041, 0.738)
O (0.341, 0.459, 0.238)
O (0.659, 0.541, 0.762)
O (0.659, 0.959, 0.262)
O (0.765, 0.195, 0.552)
O (0.765, 0.305, 0.052)
O (0.867, 0.715, 0.558)
O (0.867, 0.785, 0.058)

---

[10]
Sr2PmBiO5 | PBE-GGA | optimized geometry

Properties
Crystal system: orthorhombic
Energy relative to the elements, uncorrected in kcal/mol of atoms: -56.2
Space-group type: No. 36
E_tot in hartree per atom: -0.240

Cell lengths 7.313, 7.313, 12.814 Å; angles 90.00, 90.00, 151.15 degrees
Sites, in units of the cell vectors:
Sr (0.068, 0.932, 0.500)
Sr (0.163, 0.837, 0.080)
Sr (0.837, 0.163, 0.580)
Sr (0.932, 0.068, 0.000)
Pm (0.255, 0.745, 0.841)
Pm (0.745, 0.255, 0.341)
Bi (0.459, 0.541, 0.275)
Bi (0.541, 0.459, 0.775)
O (0.085, 0.915, 0.875)
O (0.244, 0.756, 0.474)
O (0.266, 0.734, 0.231)
O (0.414, 0.586, 0.869)
O (0.470, 0.530, 0.609)
O (0.530, 0.470, 0.109)
O (0.586, 0.414, 0.369)
O (0.734, 0.266, 0.731)
O (0.756, 0.244, 0.974)
O (0.915, 0.085, 0.375)

---

[11]
PmTaBiO6 | PBE-GGA | optimized geometry

Properties
Crystal system: tetragonal
Energy relative to the elements, uncorrected in kcal/mol of atoms: -54.6
Space-group type: No. 102
E_tot in hartree per atom: -0.292

Cell lengths 5.103, 5.103, 10.271 Å; angles 90.00, 90.00, 90.00 degrees
Sites, in units of the cell vectors:
Pm (0.000, 0.000, 0.000)
Pm (0.500, 0.500, 0.500)
Ta (0.000, 0.000, 0.334)
Ta (0.500, 0.500, 0.834)
Bi (0.000, 0.000, 0.669)
Bi (0.500, 0.500, 0.169)
O (0.180, 0.180, 0.483)
O (0.187, 0.187, 0.188)
O (0.219, 0.219, 0.829)
O (0.281, 0.719, 0.329)
O (0.313, 0.687, 0.688)
O (0.320, 0.680, 0.983)
O (0.680, 0.320, 0.983)
O (0.687, 0.313, 0.688)
O (0.719, 0.281, 0.329)
O (0.781, 0.781, 0.829)
O (0.813, 0.813, 0.188)
O (0.820, 0.820, 0.483)

---

[12]
TbPm2Bi2O2 | PBE-GGA | optimized geometry

Properties
Crystal system: tetragonal
Energy relative to the elements, uncorrected in kcal/mol of atoms: -42.0
Space-group type: No. 139
E_tot in hartree per atom: -0.234

Cell lengths 8.944, 8.944, 8.944 Å; angles 151.42, 151.42, 40.86 degrees
Sites, in units of the cell vectors:
Tb (0.000, 0.000, 0.000)
Pm (0.390, 0.390, 0.000)
Pm (0.610, 0.610, 0.000)
Bi (0.191, 0.191, 0.000)
Bi (0.809, 0.809, 0.000)
O (0.000, 0.500, 0.500)
O (0.500, 0.000, 0.500)

---

[13]
PmTcBi2O8 | PBE-GGA | optimized geometry

Properties
Crystal system: monoclinic
Energy relative to the elements, uncorrected in kcal/mol of atoms: -38.0
Space-group type: No. 10
E_tot in hartree per atom: -0.252

Cell lengths 5.230, 6.809, 5.232 Å; angles 90.00, 91.43, 90.00 degrees
Sites, in units of the cell vectors:
Pm (0.000, 0.000, 0.000)
Tc (0.000, 0.500, 0.000)
Bi (0.500, 0.253, 0.500)
Bi (0.500, 0.747, 0.500)
O (0.181, 0.288, 0.182)
O (0.181, 0.712, 0.182)
O (0.247, 0.500, 0.754)
O (0.314, 0.000, 0.687)
O (0.686, 0.000, 0.313)
O (0.753, 0.500, 0.246)
O (0.819, 0.288, 0.818)
O (0.819, 0.712, 0.818)

---

[14]
PmTc2BiO8 | PBE-GGA | optimized geometry

Properties
Crystal system: tetragonal
Energy relative to the elements, uncorrected in kcal/mol of atoms: -39.7
Space-group type: No. 82
E_tot in hartree per atom: -0.275

Cell lengths 6.890, 6.890, 6.890 Å; angles 134.64, 134.64, 66.09 degrees
Sites, in units of the cell vectors:
Pm (0.000, 0.000, 0.000)
Tc (0.500, 0.500, 0.000)
Tc (0.750, 0.250, 0.500)
Bi (0.250, 0.750, 0.500)
O (0.250, 0.663, 0.082)
O (0.337, 0.419, 0.587)
O (0.414, 0.004, 0.089)
O (0.581, 0.168, 0.918)
O (0.675, 0.586, 0.590)
O (0.832, 0.750, 0.413)
O (0.915, 0.325, 0.911)
O (0.996, 0.085, 0.410)

---

[15]
Pm2TcBiO8 | PBE-GGA | optimized geometry

Properties
Crystal system: monoclinic
Energy relative to the elements, uncorrected in kcal/mol of atoms: -48.2
Space-group type: No. 10
E_tot in hartree per atom: -0.271

Cell lengths 5.153, 6.927, 5.155 Å; angles 90.00, 90.81, 90.00 degrees
Sites, in units of the cell vectors:
Pm (0.000, 0.247, 0.000)
Pm (0.000, 0.753, 0.000)
Tc (0.500, 0.000, 0.500)
Bi (0.500, 0.500, 0.500)
O (0.194, 0.500, 0.193)
O (0.241, 0.000, 0.239)
O (0.321, 0.209, 0.678)
O (0.321, 0.791, 0.678)
O (0.679, 0.209, 0.322)
O (0.679, 0.791, 0.322)
O (0.759, 0.000, 0.761)
O (0.806, 0.500, 0.807)

---

[16]
PmTcBiO6 | PBE-GGA | optimized geometry

Properties
Crystal system: trigonal
Energy relative to the elements, uncorrected in kcal/mol of atoms: -41.8
Space-group type: No. 163
E_tot in hartree per atom: -0.266

Cell lengths 5.674, 5.674, 9.431 Å; angles 90.00, 90.00, 120.00 degrees
Sites, in units of the cell vectors:
Pm (0.333, 0.667, 0.250)
Pm (0.667, 0.333, 0.750)
Tc (0.333, 0.667, 0.750)
Tc (0.667, 0.333, 0.250)
Bi (0.000, 0.000, 0.000)
Bi (0.000, 0.000, 0.500)
O (0.051, 0.381, 0.634)
O (0.051, 0.670, 0.866)
O (0.330, 0.381, 0.866)
O (0.330, 0.949, 0.634)
O (0.381, 0.051, 0.134)
O (0.381, 0.330, 0.366)
O (0.619, 0.670, 0.634)
O (0.619, 0.949, 0.866)
O (0.670, 0.051, 0.366)
O (0.670, 0.619, 0.134)
O (0.949, 0.330, 0.134)
O (0.949, 0.619, 0.366)

---

[17]
PmBiTeO6 | PBE-GGA | optimized geometry

Properties
Crystal system: trigonal
Energy relative to the elements, uncorrected in kcal/mol of atoms: -39.9
Space-group type: No. 163
E_tot in hartree per atom: -0.233

Cell lengths 5.758, 5.758, 9.444 Å; angles 90.00, 90.00, 120.00 degrees
Sites, in units of the cell vectors:
Pm (0.333, 0.667, 0.250)
Pm (0.667, 0.333, 0.750)
Bi (0.000, 0.000, 0.000)
Bi (0.000, 0.000, 0.500)
Te (0.333, 0.667, 0.750)
Te (0.667, 0.333, 0.250)
O (0.051, 0.382, 0.634)
O (0.051, 0.669, 0.866)
O (0.331, 0.382, 0.866)
O (0.331, 0.949, 0.634)
O (0.382, 0.051, 0.134)
O (0.382, 0.331, 0.366)
O (0.618, 0.669, 0.634)
O (0.618, 0.949, 0.866)
O (0.669, 0.051, 0.366)
O (0.669, 0.618, 0.134)
O (0.949, 0.331, 0.134)
O (0.949, 0.618, 0.366)

---

[18]
PmBiTe2O8 | PBE-GGA | optimized geometry

Properties
Crystal system: tetragonal
Energy relative to the elements, uncorrected in kcal/mol of atoms: -32.8
Space-group type: No. 119
E_tot in hartree per atom: -0.219

Cell lengths 6.387, 6.387, 6.387 Å; angles 107.44, 107.44, 113.62 degrees
Sites, in units of the cell vectors:
Pm (0.000, 0.000, 0.000)
Bi (0.750, 0.250, 0.500)
Te (0.250, 0.750, 0.500)
Te (0.500, 0.500, 0.000)
O (0.066, 0.381, 0.315)
O (0.066, 0.751, 0.685)
O (0.113, 0.298, 0.815)
O (0.249, 0.934, 0.315)
O (0.483, 0.298, 0.185)
O (0.619, 0.934, 0.685)
O (0.702, 0.517, 0.815)
O (0.702, 0.887, 0.185)

---

[19]
PmBi2TeO8 | PBE-GGA | optimized geometry

Properties
Crystal system: orthorhombic
Energy relative to the elements, uncorrected in kcal/mol of atoms: -35.5
Space-group type: No. 65
E_tot in hartree per atom: -0.226

Cell lengths 5.164, 5.164, 6.985 Å; angles 90.00, 90.00, 90.53 degrees
Sites, in units of the cell vectors:
Pm (0.000, 0.000, 0.000)
Bi (0.500, 0.500, 0.255)
Bi (0.500, 0.500, 0.745)
Te (0.000, 0.000, 0.500)
O (0.180, 0.180, 0.287)
O (0.180, 0.180, 0.713)
O (0.267, 0.733, 0.500)
O (0.316, 0.684, 0.000)
O (0.684, 0.316, 0.000)
O (0.733, 0.267, 0.500)
O (0.820, 0.820, 0.287)
O (0.820, 0.820, 0.713)

---

[20]
Pm2BiTeO8 | PBE-GGA | optimized geometry

Properties
Crystal system: orthorhombic
Energy relative to the elements, uncorrected in kcal/mol of atoms: -46.1
Space-group type: No. 65
E_tot in hartree per atom: -0.246

Cell lengths 5.144, 5.144, 6.999 Å; angles 90.00, 90.00, 92.12 degrees
Sites, in units of the cell vectors:
Pm (0.000, 0.000, 0.241)
Pm (0.000, 0.000, 0.759)
Bi (0.500, 0.500, 0.500)
Te (0.500, 0.500, 0.000)
O (0.196, 0.196, 0.500)
O (0.229, 0.229, 0.000)
O (0.322, 0.678, 0.214)
O (0.322, 0.678, 0.786)
O (0.678, 0.322, 0.214)
O (0.678, 0.322, 0.786)
O (0.771, 0.771, 0.000)
O (0.804, 0.804, 0.500)